{
  "formula": "Rb6Br2Cl2O",
  "functional": "PBE",
  "state": "optimized geometry",
  "cell": [[4.1611, -6.8266, 0.0000], [4.1611, 6.8266, 0.0000], [-2.7684, 0.0000, 7.8808]],
  "species": ["Rb", "Rb", "Rb", "Rb", "Rb", "Rb", "Br", "Br", "Cl", "Cl", "O"],
  "frac_coords": [[0.0559, 0.3630, 0.7059], [0.1987, 0.1987, 0.2990], [0.3630, 0.0559, 0.7059], [0.6370, 0.9441, 0.2941], [0.8013, 0.8013, 0.7010], [0.9441, 0.6370, 0.2941], [0.1793, 0.8207, 0.0000], [0.8207, 0.1793, 0.0000], [0.3416, 0.6584, 0.5000], [0.6584, 0.3416, 0.5000], [0.0000, 0.0000, 0.5000]],
  "magnetic_moment_mub_per_atom": 0.012,
  "raw_formation_energy_ev_per_atom": -1.586,
  "total_energy_ev_per_atom": -3.204
}